# Ti3GaSb, relaxed, DFT GGA-PBE
data_Ti3GaSb
_chemical_formula_sum 'Ti6 Ga2 Sb2'
_cell_length_a 5.2168
_cell_length_b 4.9503
_cell_length_c 8.1156
_cell_angle_alpha 107.76
_cell_angle_beta 90.00
_cell_angle_gamma 90.00
_space_group_name_H-M_alt 'P 1'
_space_group_IT_number 1
loop_
_space_group_symop_operation_xyz
'x,y,z'
loop_
_atom_site_label
_atom_site_type_symbol
_atom_site_fract_x
_atom_site_fract_y
_atom_site_fract_z
Sb1 Sb 0.7500 0.8401 0.6801
Sb2 Sb 0.2500 0.1599 0.3199
Ti1 Ti 0.7500 0.4192 0.3565
Ti2 Ti 0.2500 0.5808 0.6435
Ti3 Ti 0.7500 0.9373 0.3565
Ti4 Ti 0.5000 0.0000 0.0000
Ti5 Ti 0.2500 0.0627 0.6435
Ti6 Ti 0.0000 0.0000 0.0000
Ga1 Ga 0.7500 0.5209 0.0418
Ga2 Ga 0.2500 0.4791 0.9582
# D(E_F) (states/eV/cell): 10.55
# Total magnetic moment (μB per atom): 0.00
# ΔE to the lowest computed polymorph (meV/atom): 290
# ΔE_f (raw) (meV per atom): -92

---

# Y2Ga4Ir3Pd, relaxed, DFT GGA-PBE
data_Y2Ga4Ir3Pd
_chemical_formula_sum 'Y2 Ga4 Ir3 Pd1'
_cell_length_a 4.1805
_cell_length_b 4.1805
_cell_length_c 10.5348
_cell_angle_alpha 90.00
_cell_angle_beta 90.00
_cell_angle_gamma 90.00
_space_group_name_H-M_alt 'P 1'
_space_group_IT_number 1
loop_
_space_group_symop_operation_xyz
'x,y,z'
loop_
_atom_site_label
_atom_site_type_symbol
_atom_site_fract_x
_atom_site_fract_y
_atom_site_fract_z
Y1 Y 0.5000 0.0000 0.2511
Y2 Y 0.0000 0.5000 0.7489
Ga1 Ga 0.5000 0.5000 0.0000
Ga2 Ga 0.0000 0.0000 0.0000
Ga3 Ga 0.0000 0.5000 0.3696
Ga4 Ga 0.5000 0.0000 0.6304
Ir1 Ir 0.0000 0.0000 0.5000
Ir2 Ir 0.5000 0.0000 0.8631
Ir3 Ir 0.0000 0.5000 0.1369
Pd1 Pd 0.5000 0.5000 0.5000
# D(E_F) (states/eV/cell): 4.88
# Energy of formation from the pure elements (kJ per mole of atoms): -71
# Total magnetic moment (μB per atom): 0.00

---

# Tl6SnSb2, relaxed, DFT GGA-PBE
data_Tl6SnSb2
_chemical_formula_sum 'Tl6 Sn1 Sb2'
_cell_length_a 4.5774
_cell_length_b 7.9212
_cell_length_c 9.0799
_cell_angle_alpha 64.14
_cell_angle_beta 82.88
_cell_angle_gamma 73.49
_space_group_name_H-M_alt 'P 1'
_space_group_IT_number 1
loop_
_space_group_symop_operation_xyz
'x,y,z'
loop_
_atom_site_label
_atom_site_type_symbol
_atom_site_fract_x
_atom_site_fract_y
_atom_site_fract_z
Tl1 Tl 0.6723 0.6741 0.0000
Tl2 Tl 0.8110 0.4847 0.6695
Tl3 Tl 0.8110 0.1542 0.3305
Tl4 Tl 0.1890 0.5153 0.3305
Tl5 Tl 0.1890 0.8458 0.6695
Tl6 Tl 0.3277 0.3259 0.0000
Sn1 Sn 0.0000 0.0000 0.0000
Sb1 Sb 0.5000 0.1458 0.7084
Sb2 Sb 0.5000 0.8542 0.2916
# D(E_F) (states/eV/cell): 4.58
# Total magnetic moment (μB per atom): 0.00
# ΔE to the lowest computed polymorph (meV/atom): 0
# ΔE_f (raw) (meV per atom): 12

---

# OsRu2W, relaxed, DFT GGA-PBE
data_OsRu2W
_chemical_formula_sum 'Os1 Ru2 W1'
_cell_length_a 4.7532
_cell_length_b 4.7532
_cell_length_c 4.7532
_cell_angle_alpha 131.93
_cell_angle_beta 131.93
_cell_angle_gamma 70.35
_space_group_name_H-M_alt 'P 1'
_space_group_IT_number 1
loop_
_space_group_symop_operation_xyz
'x,y,z'
loop_
_atom_site_label
_atom_site_type_symbol
_atom_site_fract_x
_atom_site_fract_y
_atom_site_fract_z
Ru1 Ru 0.2500 0.7500 0.5000
Ru2 Ru 0.0000 0.0000 0.0000
Os1 Os 0.7500 0.2500 0.5000
W1 W 0.5000 0.5000 0.0000
# D(E_F) (states/eV/cell): 3.18
# Energy of formation from the pure elements (kJ per mole of atoms): 1
# Total magnetic moment (μB per atom): 0.00
# ΔE to the lowest computed polymorph (meV/atom): 28

---

# Li2CaPb, relaxed, DFT GGA-PBE
data_Li2CaPb
_chemical_formula_sum 'Li2 Ca1 Pb1'
_cell_length_a 3.8338
_cell_length_b 3.8335
_cell_length_c 6.9185
_cell_angle_alpha 90.00
_cell_angle_beta 90.00
_cell_angle_gamma 90.00
_space_group_name_H-M_alt 'P 1'
_space_group_IT_number 1
loop_
_space_group_symop_operation_xyz
'x,y,z'
loop_
_atom_site_label
_atom_site_type_symbol
_atom_site_fract_x
_atom_site_fract_y
_atom_site_fract_z
Pb1 Pb 0.5000 0.5000 0.2500
Ca1 Ca 0.5000 0.5000 0.7500
Li1 Li 0.0000 0.0000 0.0428
Li2 Li 0.0000 0.0000 0.4572
# D(E_F) (states/eV/cell): 2.59
# Energy of formation from the pure elements (kJ per mole of atoms): -20
# Total magnetic moment (μB per atom): 0.09

---

# PmNd2Bi3, relaxed, DFT GGA-PBE
data_PmNd2Bi3
_chemical_formula_sum 'Pm1 Nd2 Bi3'
_cell_length_a 4.6017
_cell_length_b 6.4985
_cell_length_c 7.9661
_cell_angle_alpha 114.07
_cell_angle_beta 106.79
_cell_angle_gamma 90.00
_space_group_name_H-M_alt 'P 1'
_space_group_IT_number 1
loop_
_space_group_symop_operation_xyz
'x,y,z'
loop_
_atom_site_label
_atom_site_type_symbol
_atom_site_fract_x
_atom_site_fract_y
_atom_site_fract_z
Pm1 Pm 0.0000 0.5000 0.0000
Bi1 Bi 0.0000 0.0000 0.0000
Bi2 Bi 0.3344 0.3344 0.6687
Bi3 Bi 0.6656 0.6656 0.3313
Nd1 Nd 0.3330 0.8330 0.6661
Nd2 Nd 0.6670 0.1670 0.3339
# D(E_F) (states/eV/cell): 1.30
# Energy of formation from the pure elements (kJ per mole of atoms): -91
# Total magnetic moment (μB per atom): 0.00

---

# NaPrPb2Br8, relaxed, DFT GGA-PBE
data_NaPrPb2Br8
_chemical_formula_sum 'Na1 Pr1 Pb2 Br8'
_cell_length_a 7.2234
_cell_length_b 6.8677
_cell_length_c 9.0341
_cell_angle_alpha 90.00
_cell_angle_beta 90.00
_cell_angle_gamma 89.40
_space_group_name_H-M_alt 'P 1'
_space_group_IT_number 1
loop_
_space_group_symop_operation_xyz
'x,y,z'
loop_
_atom_site_label
_atom_site_type_symbol
_atom_site_fract_x
_atom_site_fract_y
_atom_site_fract_z
Br1 Br 0.8452 0.2339 0.2427
Br2 Br 0.6608 0.7363 0.5000
Br3 Br 0.1548 0.7661 0.7573
Br4 Br 0.6686 0.7534 0.0000
Br5 Br 0.3392 0.2637 0.5000
Br6 Br 0.8452 0.2339 0.7573
Br7 Br 0.3314 0.2466 0.0000
Br8 Br 0.1548 0.7661 0.2427
Pr1 Pr 0.0000 0.0000 0.0000
Na1 Na 0.0000 0.0000 0.5000
Pb1 Pb 0.5000 0.5000 0.7407
Pb2 Pb 0.5000 0.5000 0.2593
# D(E_F) (states/eV/cell): 0.00
# Total magnetic moment (μB per atom): 0.00
# ΔE_f (raw) (meV per atom): -1328

---

# Tl2SbP, relaxed, DFT GGA-PBE
data_Tl2SbP
_chemical_formula_sum 'Tl2 Sb1 P1'
_cell_length_a 7.8726
_cell_length_b 7.8726
_cell_length_c 7.8726
_cell_angle_alpha 29.89
_cell_angle_beta 29.89
_cell_angle_gamma 29.89
_space_group_name_H-M_alt 'P 1'
_space_group_IT_number 1
loop_
_space_group_symop_operation_xyz
'x,y,z'
loop_
_atom_site_label
_atom_site_type_symbol
_atom_site_fract_x
_atom_site_fract_y
_atom_site_fract_z
Tl1 Tl 0.7632 0.7632 0.7632
Tl2 Tl 0.2368 0.2368 0.2368
Sb1 Sb 0.0000 0.0000 0.0000
P1 P 0.5000 0.5000 0.5000
# D(E_F) (states/eV/cell): 1.34
# Total magnetic moment (μB per atom): 0.00
# ΔE to the lowest computed polymorph (meV/atom): 188
# ΔE_f (raw) (meV per atom): 266

---

# Cs2LaAsCl6, relaxed, DFT GGA-PBE
data_Cs2LaAsCl6
_chemical_formula_sum 'Cs2 La1 As1 Cl6'
_cell_length_a 7.5470
_cell_length_b 7.5470
_cell_length_c 8.5781
_cell_angle_alpha 63.90
_cell_angle_beta 63.90
_cell_angle_gamma 90.00
_space_group_name_H-M_alt 'P 1'
_space_group_IT_number 1
loop_
_space_group_symop_operation_xyz
'x,y,z'
loop_
_atom_site_label
_atom_site_type_symbol
_atom_site_fract_x
_atom_site_fract_y
_atom_site_fract_z
Cs1 Cs 0.7500 0.2500 0.5000
Cs2 Cs 0.2500 0.7500 0.5000
Cl1 Cl 0.2594 0.2594 0.0000
Cl2 Cl 0.2594 0.7406 0.0000
Cl3 Cl 0.7406 0.7406 0.0000
Cl4 Cl 0.7406 0.2594 0.0000
Cl5 Cl 0.2061 0.2061 0.5878
Cl6 Cl 0.7939 0.7939 0.4122
As1 As 0.5000 0.5000 0.0000
La1 La 0.0000 0.0000 0.0000
# D(E_F) (states/eV/cell): 0.00
# Total magnetic moment (μB per atom): 0.00
# ΔE_f (raw) (meV per atom): -1645

---

# CsNi3As, relaxed, DFT GGA-PBE
data_CsNi3As
_chemical_formula_sum 'Cs1 Ni3 As1'
_cell_length_a 4.6650
_cell_length_b 4.6650
_cell_length_c 4.6650
_cell_angle_alpha 90.00
_cell_angle_beta 90.00
_cell_angle_gamma 90.00
_space_group_name_H-M_alt 'P 1'
_space_group_IT_number 1
loop_
_space_group_symop_operation_xyz
'x,y,z'
loop_
_atom_site_label
_atom_site_type_symbol
_atom_site_fract_x
_atom_site_fract_y
_atom_site_fract_z
Ni1 Ni 0.5000 0.0000 0.0000
Ni2 Ni 0.0000 0.0000 0.5000
Ni3 Ni 0.0000 0.5000 0.0000
Cs1 Cs 0.5000 0.5000 0.5000
As1 As 0.0000 0.0000 0.0000
# D(E_F) (states/eV/cell): 2.54
# Energy of formation from the pure elements (kJ per mole of atoms): 45
# Total magnetic moment (μB per atom): 0.39
# ΔE to the lowest computed polymorph (meV/atom): 0

---

# NdDy3Th2, relaxed, DFT GGA-PBE
data_NdDy3Th2
_chemical_formula_sum 'Nd2 Dy6 Th4'
_cell_length_a 8.7415
_cell_length_b 7.1671
_cell_length_c 7.1671
_cell_angle_alpha 120.00
_cell_angle_beta 90.00
_cell_angle_gamma 90.00
_space_group_name_H-M_alt 'P 1'
_space_group_IT_number 1
loop_
_space_group_symop_operation_xyz
'x,y,z'
loop_
_atom_site_label
_atom_site_type_symbol
_atom_site_fract_x
_atom_site_fract_y
_atom_site_fract_z
Nd1 Nd 0.6719 0.3333 0.6667
Nd2 Nd 0.3281 0.6667 0.3333
Dy1 Dy 0.3248 0.6687 0.8343
Dy2 Dy 0.3248 0.1657 0.8343
Dy3 Dy 0.6752 0.3313 0.1657
Dy4 Dy 0.3248 0.1657 0.3313
Dy5 Dy 0.6752 0.8343 0.1657
Dy6 Dy 0.6752 0.8343 0.6687
Th1 Th 0.0000 0.5000 0.5000
Th2 Th 0.0000 0.0000 0.0000
Th3 Th 0.0000 0.0000 0.5000
Th4 Th 0.0000 0.5000 0.0000
# D(E_F) (states/eV/cell): 18.96
# Energy of formation from the pure elements (kJ per mole of atoms): 2
# Total magnetic moment (μB per atom): 0.00
# ΔE to the lowest computed polymorph (meV/atom): 0

---

Look up the D(E_F) of the sixth one. 1.30 states/eV/cell